Entry 1:
Material: Cs3Sm2HoTe6
Method: DFT, PBE-GGA
State: optimized geometry

POSCAR file:
```
Cs3Sm2HoTe6
1.0
-3.8303 1.2486 -6.8759
5.1682 -6.0319 0.6435
-7.0504 -3.7750 4.7821
Te Ho Cs Sm
6 1 3 2
Direct
0.6085 0.9363 0.8087 Te
0.2636 0.2636 0.8079 Te
0.9363 0.6085 0.8087 Te
0.7364 0.7364 0.1921 Te
0.3915 0.0637 0.1913 Te
0.0637 0.3915 0.1913 Te
0.0000 0.0000 0.0000 Ho
0.5000 0.5000 0.5000 Cs
0.1686 0.8314 0.5000 Cs
0.8314 0.1686 0.5000 Cs
0.6664 0.3336 0.0000 Sm
0.3336 0.6664 0.0000 Sm
```

The calculation puts the energy relative to the elements, uncorrected at -1396 meV per atom. As for the space-group type: C2/m (12).

=====

Entry 2:
Material: Tb7Ho2Er3
Method: DFT, PBE-GGA
State: optimized geometry

POSCAR file:
```
Tb7Ho2Er3
1.0
-0.5120 6.0959 -0.1791
-0.0010 -2.1990 -5.7120
-10.2843 -2.8271 3.2904
Tb Er Ho
7 3 2
Direct
0.0000 0.0000 0.0000 Tb
0.9164 0.4164 0.8330 Tb
0.5836 0.0835 0.1670 Tb
0.0836 0.5836 0.1670 Tb
0.2501 0.7500 0.5000 Tb
0.7499 0.2500 0.5000 Tb
0.4164 0.9165 0.8330 Tb
0.1669 0.1669 0.3337 Er
0.8331 0.8331 0.6663 Er
0.5000 0.5000 0.0000 Er
0.3331 0.3332 0.6664 Ho
0.6669 0.6668 0.3336 Ho
```

The value obtained for the density of states at the Fermi level is 16.705 states/eV/cell. The value obtained for the excess energy over the best structure of this formula in the dataset is 0 meV per atom. As for the space-group type: Fmmm (69).

=====

Entry 3:
Material: BaAc2Hg6
Method: DFT, PBE-GGA
State: optimized geometry

POSCAR file:
```
BaAc2Hg6
1.0
3.9440 0.0000 0.0000
0.0000 7.7605 -4.4805
0.0000 0.0000 8.9611
Ac Hg Ba
2 6 1
Direct
0.0000 0.3333 0.6667 Ac
0.0000 0.6667 0.3333 Ac
0.5000 0.0000 0.6652 Hg
0.5000 0.6652 0.6652 Hg
0.5000 0.3348 0.0000 Hg
0.5000 0.3348 0.3348 Hg
0.5000 0.6652 0.0000 Hg
0.5000 0.0000 0.3348 Hg
0.0000 0.0000 0.0000 Ba
```

The value obtained for the density of states at the Fermi level is 6.747 states/eV/cell. The calculation puts the calculated total energy at -1.7985 eV per atom. As for the space-group type: P6/mmm (191).

=====

Entry 4:
Material: TbTm4Al2
Method: DFT, PBE-GGA
State: optimized geometry

POSCAR file:
```
TbTm4Al2
1.0
5.5671 0.0000 0.0000
0.0000 5.5671 0.0000
-2.7835 -2.7835 6.3208
Al Tm Tb
2 4 1
Direct
0.3841 0.3841 0.7681 Al
0.6159 0.6159 0.2319 Al
0.2500 0.7500 0.5000 Tm
0.5000 0.0000 0.0000 Tm
0.0000 0.5000 0.0000 Tm
0.7500 0.2500 0.5000 Tm
0.0000 0.0000 0.0000 Tb
```

The value obtained for the density of states at the Fermi level is 8.461 states/eV/cell. The value obtained for the excess energy over the best structure of this formula in the dataset is 391 meV per atom. As for the space-group type: I4/mmm (139).

=====

Entry 5:
Material: Dy2MgZn4Ga3
Method: DFT, PBE-GGA
State: optimized geometry

POSCAR file:
```
Dy2MgZn4Ga3
1.0
-3.8808 -0.9778 -1.1557
0.9136 -4.0484 0.3574
-3.1654 0.2086 10.4526
Zn Dy Mg Ga
4 2 1 3
Direct
0.5000 0.5000 0.0000 Zn
0.5000 0.0000 0.6452 Zn
0.0000 0.5000 0.3548 Zn
0.0000 0.0000 0.0000 Zn
0.5000 0.0000 0.2360 Dy
0.0000 0.5000 0.7640 Dy
0.5000 0.5000 0.5000 Mg
0.0000 0.5000 0.1352 Ga
0.5000 0.0000 0.8648 Ga
0.0000 0.0000 0.5000 Ga
```

The value obtained for the density of states at the Fermi level is 3.726 states/eV/cell. The calculation puts the calculated total energy at -2.8846 eV per atom. As for the space-group type: P-4m2 (115).

=====

Entry 6:
Material: AsWSeBr2
Method: DFT, PBE-GGA
State: optimized geometry

POSCAR file:
```
AsWSeBr2
1.0
-2.6676 3.9713 2.1390
-2.6316 0.6481 -4.4853
-3.4299 -3.1431 1.5582
As W Br Se
1 1 2 1
Direct
0.5000 0.5000 0.5000 As
0.0000 0.0000 0.0000 W
0.0000 0.5000 0.0000 Br
0.5000 0.0000 0.0000 Br
0.0000 0.0000 0.5000 Se
```

The value obtained for the density of states at the Fermi level is 3.900 states/eV/cell. The value obtained for the excess energy over the best structure of this formula in the dataset is 25 meV per atom. The calculation puts the energy relative to the elements, uncorrected at 649 meV per atom. As for the space-group type: P4/mmm (123).

=====

| no. | magnetic moment (μB/cell) |
| --- | --- |
| 1 | 0.0 |
| 2 | 0.0 |
| 3 | 0.0 |
| 4 | 0.0 |
| 5 | 0.0 |
| 6 | 4.0 |